# 1
Compound: TbZnNiGe2
Source: the Alexandria database
Functional: PBE-GGA
Structure: relaxed

Results
Its crystal system is tetragonal. The value obtained for the calculated volume is 86.1 Å³ per cell. The density of states at the Fermi level is 1.217 states/eV per cell. The value obtained for the formation energy is -0.555 eV per atom.

Lattice parameters (Å, degrees): 4.047 4.047 5.986 109.76 109.76 90.00
Positions (direct):
Ge: 0.618 0.618 0.237
Ge: 0.382 0.382 0.763
Tb: 0.000 0.000 0.000
Zn: 0.750 0.250 0.500
Ni: 0.250 0.750 0.500

# 2
Compound: BaSrZn4
Source: the Alexandria database
Functional: PBE-GGA
Structure: relaxed

Results
Its crystal system is cubic. The value obtained for the calculated volume is 147.7 Å³ per cell. The density of states at the Fermi level is 6.430 states/eV per cell. The value obtained for the formation energy is -0.127 eV per atom.

Lattice parameters (Å, degrees): 5.933 5.933 5.933 60.00 60.00 60.00
Positions (direct):
Zn: 0.625 0.625 0.625
Zn: 0.625 0.625 0.125
Zn: 0.125 0.625 0.625
Zn: 0.625 0.125 0.625
Ba: 0.250 0.250 0.250
Sr: 0.000 0.000 0.000